# BaGeBr4, optimized geometry, DFT PBE
# Raw total energy = -3.543 eV per atom
# Energy relative to the elements, uncorrected = -1338 meV/atom
# Calculated volume = 544.5 Å³/cell
data_BaGeBr4
_symmetry_space_group_name_H-M 'P 1 21/m 1'
_symmetry_Int_Tables_number 11
_cell_length_a 6.2064
_cell_length_b 10.4476
_cell_length_c 8.7929
_cell_angle_alpha 90.00
_cell_angle_beta 107.26
_cell_angle_gamma 90.00
loop_
_symmetry_equiv_pos_as_xyz
'x,y,z'
'-x,-y,-z'
'-x,y+1/2,-z'
'x,-y+1/2,z'
loop_
_atom_site_label
_atom_site_type_symbol
_atom_site_fract_x
_atom_site_fract_y
_atom_site_fract_z
_atom_site_occupancy
Ba1 Ba 0.0515 0.2500 0.1266 1
Ge1 Ge 0.1787 0.7500 0.4225 1
Br1 Br 0.0787 0.5703 0.2021 1
Br2 Br 0.1976 0.2500 0.5260 1
Br3 Br 0.4125 0.7500 0.7901 1

---

# CaGa2Cu, optimized geometry, DFT PBE
# Raw total energy = -3.284 eV per atom
# E_form = -0.246 eV per atom
# Calculated volume = 74.4 Å³/cell
data_CaGa2Cu
_symmetry_space_group_name_H-M 'P 4/m m m'
_symmetry_Int_Tables_number 123
_symmetry_space_group_name_Hall '-P 4 2'
_cell_length_a 3.2475
_cell_length_b 3.2475
_cell_length_c 7.0564
_cell_angle_alpha 90.00
_cell_angle_beta 90.00
_cell_angle_gamma 90.00
loop_
_atom_site_label
_atom_site_type_symbol
_atom_site_fract_x
_atom_site_fract_y
_atom_site_fract_z
_atom_site_occupancy
Ca1 Ca 0.0000 0.0000 0.0000 1
Ga1 Ga 0.5000 0.5000 0.3060 1
Cu1 Cu 0.0000 0.0000 0.5000 1

---

# TlCoBH2, optimized geometry, DFT PBE
# Raw total energy = -3.502 eV per atom
# ΔE to the lowest computed polymorph = 0 meV per atom
# Calculated volume = 60.9 Å³/cell
data_TlCoBH2
_symmetry_space_group_name_H-M 'P 4/m m m'
_symmetry_Int_Tables_number 123
_symmetry_space_group_name_Hall '-P 4 2'
_cell_length_a 3.3742
_cell_length_b 3.3742
_cell_length_c 5.3513
_cell_angle_alpha 90.00
_cell_angle_beta 90.00
_cell_angle_gamma 90.00
loop_
_atom_site_label
_atom_site_type_symbol
_atom_site_fract_x
_atom_site_fract_y
_atom_site_fract_z
_atom_site_occupancy
Tl1 Tl 0.0000 0.0000 0.0000 1
Co1 Co 0.0000 0.0000 0.5000 1
B1 B 0.5000 0.5000 0.0000 1
H1 H 0.0000 0.5000 0.5000 1

---

# SmYPt2, optimized geometry, DFT PBE
# Raw total energy = -6.872 eV per atom
# E_form = -1.056 eV per atom
# ΔE to the lowest computed polymorph = 169 meV per atom
# Calculated volume = 299.3 Å³/cell
data_SmYPt2
_symmetry_space_group_name_H-M 'R 3 m'
_symmetry_Int_Tables_number 160
_symmetry_space_group_name_Hall 'R 3 -2"'
_cell_length_a 4.0732
_cell_length_b 4.0732
_cell_length_c 20.8296
_cell_angle_alpha 90.00
_cell_angle_beta 90.00
_cell_angle_gamma 120.00
loop_
_atom_site_label
_atom_site_type_symbol
_atom_site_fract_x
_atom_site_fract_y
_atom_site_fract_z
_atom_site_occupancy
Sm1 Sm 0.0000 0.0000 0.0000 1
Y1 Y 0.0000 0.0000 0.8276 1
Pt1 Pt 0.0000 0.0000 0.4169 1
Pt2 Pt 0.0000 0.0000 0.5768 1